Entry 1:
A plane-wave DFT calculation with PBEsol was carried out for a relaxed structure of NdSbAu.

a b c (Å): 4.580 4.580 8.157
angles (deg): 90.00 90.00 120.00
Positions (direct):
Nd (0.000, 0.000, 0.000)
Nd (0.000, 0.000, 0.500)
Au (0.667, 0.333, 0.250)
Au (0.333, 0.667, 0.750)
Sb (0.667, 0.333, 0.750)
Sb (0.333, 0.667, 0.250)

Volume = 24.7 Å³/atom
Size of the total moment = 0.00 μB per cell
Formation energy without anion corrections = -0.856 eV per atom
Space-group type = P6_3/mmc, No. 194
Electronic total energy = -0.39726 Ry/atom


Entry 2:
A plane-wave DFT calculation with PBEsol was carried out for a relaxed structure of LiMgZn.

a b c (Å): 3.170 3.359 5.214
angles (deg): 108.79 107.70 90.00
Positions (direct):
Zn (0.345, 0.345, 0.690)
Mg (0.671, 0.671, 0.342)
Li (0.984, 0.984, 0.968)

Volume = 16.6 Å³/atom
Size of the total moment = 0.00 μB per cell
Energy of formation from the pure elements = -32 kJ/mol of formula units
Space-group type = Imm2, No. 44
Electronic total energy = -0.13714 Ry/atom


Entry 3:
A plane-wave DFT calculation with PBEsol was carried out for a relaxed structure of HfCuGeAs.

a b c (Å): 3.673 3.673 9.437
angles (deg): 90.00 90.00 90.00
Positions (direct):
Hf (0.000, 0.500, 0.773)
Hf (0.500, 0.000, 0.227)
Cu (0.500, 0.500, 0.500)
Cu (0.000, 0.000, 0.500)
Ge (0.500, 0.500, 0.000)
Ge (0.000, 0.000, 0.000)
As (0.000, 0.500, 0.321)
As (0.500, 0.000, 0.679)

Volume = 15.9 Å³/atom
Size of the total moment = 0.00 μB per cell
Energy of formation from the pure elements = -220 kJ/mol of formula units
Space-group type = P4/nmm, No. 129
Electronic total energy = -0.49904 Ry/atom


Entry 4:
A plane-wave DFT calculation with PBEsol was carried out for a relaxed structure of NbReSe2Br.

a b c (Å): 4.749 4.749 5.112
angles (deg): 90.00 90.00 90.00
Last column: magnetic moment on the atom in μB.
Positions (direct):
Re (0.000, 0.000, 0.000)  0.32
Nb (0.500, 0.500, 0.500)  2.65
Se (0.000, 0.500, 0.000)  -0.10
Se (0.500, 0.000, 0.000)  -0.10
Br (0.000, 0.000, 0.500)  -0.03

Volume = 23.1 Å³/atom
Size of the total moment = 3.50 μB per cell
Formation energy without anion corrections = 1.004 eV per atom
Space-group type = P4/mmm, No. 123
Electronic total energy = -0.42192 Ry/atom